Entry 1:
DFT (GGA-PBE) results for a geometry-optimized Li2WSe structure.

Values from the calculation:
* uncorrected formation energy: 0.027 eV/atom

Lattice parameters (Å, degrees): 3.2137 3.2137 5.8223 90.00 90.00 90.00
Sites, in units of the cell vectors:
Li: 0.0000 0.0000 0.0000
Li: 0.5000 0.5000 0.2263
W: 0.5000 0.5000 0.7216
Se: 0.0000 0.0000 0.4980

Entry 2:
DFT (GGA-PBE) results for a geometry-optimized LiWSe2 structure.

Values from the calculation:
* relative energy among the computed polymorphs: 547.0 meV per atom
* uncorrected formation energy: 0.164 eV/atom

Lattice parameters (Å, degrees): 8.9513 8.9513 8.9513 19.48 19.48 19.48
Sites, in units of the cell vectors:
Li: 0.0000 0.0000 0.0000
W: 0.5000 0.5000 0.5000
Se: 0.4052 0.4052 0.4052
Se: 0.5948 0.5948 0.5948

Entry 3:
DFT (GGA-PBE) results for a geometry-optimized Li2WSe structure.

Values from the calculation:
* uncorrected formation energy: 0.304 eV/atom

Lattice parameters (Å, degrees): 3.7566 3.7566 4.0961 90.00 90.00 90.00
Sites, in units of the cell vectors:
Li: 0.0000 0.5000 0.0000
Li: 0.5000 0.0000 0.0000
W: 0.0000 0.0000 0.5000
Se: 0.5000 0.5000 0.5000

Entry 4:
DFT (GGA-PBE) results for a geometry-optimized Li2WSe structure.

Values from the calculation:
* uncorrected formation energy: 0.394 eV/atom

Lattice parameters (Å, degrees): 5.7063 5.7063 5.7063 100.45 100.45 129.58
Sites, in units of the cell vectors:
Li: 0.0846 0.1250 0.4596
Li: 0.3750 0.9154 0.0404
Li: 0.6654 0.6250 0.5404
Li: 0.8750 0.3346 0.9596
W: 0.2500 0.7500 0.5000
W: 0.5000 0.5000 0.0000
Se: 0.0000 0.0000 0.0000
Se: 0.7500 0.2500 0.5000

Entry 5:
DFT (GGA-PBE) results for a geometry-optimized Li2WSe structure.

Values from the calculation:
* uncorrected formation energy: 0.406 eV/atom

Lattice parameters (Å, degrees): 4.3347 4.3347 4.3347 60.00 60.00 60.00
Sites, in units of the cell vectors:
Li: 0.0000 0.0000 0.0000
Li: 0.2500 0.2500 0.2500
W: 0.7500 0.7500 0.7500
Se: 0.5000 0.5000 0.5000

Entry 6:
DFT (GGA-PBE) results for a geometry-optimized LiWSe2 structure.

Values from the calculation:
* relative energy among the computed polymorphs: 187.8 meV per atom
* uncorrected formation energy: -0.195 eV/atom

Lattice parameters (Å, degrees): 3.3558 3.3558 7.0557 90.00 90.00 90.00
Sites, in units of the cell vectors:
Li: 0.0000 0.0000 0.0000
W: 0.5000 0.5000 0.7508
Se: 0.0000 0.0000 0.5905
Se: 0.5000 0.5000 0.0966

Entry 7:
DFT (GGA-PBE) results for a geometry-optimized Li2W2Se structure.

Values from the calculation:
* uncorrected formation energy: 0.572 eV/atom

Lattice parameters (Å, degrees): 7.3047 7.3047 7.3047 151.40 151.40 40.89
Sites, in units of the cell vectors:
Li: 0.0826 0.0826 0.0000
Li: 0.9174 0.9174 0.0000
W: 0.2500 0.7500 0.5000
W: 0.7500 0.2500 0.5000
Se: 0.5000 0.5000 0.0000

Entry 8:
DFT (GGA-PBE) results for a geometry-optimized LiWSe2 structure.

Values from the calculation:
* relative energy among the computed polymorphs: 229.6 meV per atom
* uncorrected formation energy: -0.153 eV/atom

Lattice parameters (Å, degrees): 3.3258 4.1415 5.0777 90.00 90.00 90.00
Sites, in units of the cell vectors:
Li: 0.0000 0.0000 0.0000
W: 0.5000 0.5000 0.5000
Se: 0.0000 0.0000 0.5000
Se: 0.5000 0.5000 0.0000

Entry 9:
DFT (GGA-PBE) results for a geometry-optimized Li2WSe structure.

Values from the calculation:
* uncorrected formation energy: 0.182 eV/atom

Lattice parameters (Å, degrees): 2.6274 4.6967 5.2230 90.00 90.09 90.00
Sites, in units of the cell vectors:
Li: 0.0000 0.0000 0.0000
Li: 0.0029 0.5000 0.7413
W: 0.5014 0.0000 0.4998
Se: 0.5010 0.5000 0.2760

Entry 10:
DFT (GGA-PBE) results for a geometry-optimized LiWSe2 structure.

Values from the calculation:
* relative energy among the computed polymorphs: 247.8 meV per atom
* uncorrected formation energy: -0.135 eV/atom

Lattice parameters (Å, degrees): 6.9475 6.9475 6.9475 129.66 129.66 73.95
Sites, in units of the cell vectors:
Li: 0.0000 0.0000 0.0000
Li: 0.7500 0.2500 0.5000
W: 0.2500 0.7500 0.5000
W: 0.5000 0.5000 0.0000
Se: 0.1439 0.6250 0.0189
Se: 0.3750 0.3939 0.5189
Se: 0.6061 0.1250 0.9811
Se: 0.8750 0.8561 0.4811

Entry 11:
DFT (GGA-PBE) results for a geometry-optimized LiWSe2 structure.

Values from the calculation:
* relative energy among the computed polymorphs: 442.3 meV per atom
* uncorrected formation energy: 0.060 eV/atom

Lattice parameters (Å, degrees): 3.3190 3.3190 7.7649 90.00 90.00 119.62
Sites, in units of the cell vectors:
Li: 0.0000 0.0000 0.0000
W: 0.0000 0.0000 0.5000
Se: 0.5000 0.5000 0.2528
Se: 0.5000 0.5000 0.7472

Entry 12:
DFT (GGA-PBE) results for a geometry-optimized Li2WSe structure.

Values from the calculation:
* uncorrected formation energy: 0.116 eV/atom

Lattice parameters (Å, degrees): 9.2172 9.2172 9.2172 17.76 17.76 17.76
Sites, in units of the cell vectors:
Li: 0.2438 0.2438 0.2438
Li: 0.7562 0.7562 0.7562
W: 0.0000 0.0000 0.0000
Se: 0.5000 0.5000 0.5000